Record 1
Entry from Alexandria: a geometry-optimized Y2MgSc structure (PBE).

Unit cell a=5.240 b=3.398 c=6.597 alpha=74.99 beta=90.00 gamma=90.00
Atoms (fractional coordinates):
Y  0.000  0.956  0.963
Y  0.500  0.296  0.284
Mg  0.000  0.688  0.498
Sc  0.500  0.560  0.755

* spin magnetization: 0.63 μB/cell
* crystal system: monoclinic
* ΔH_f (0 K): 0.031 eV per atom
* density of states at the Fermi level: 6.566 states/eV/cell
* calculated volume: 113 Å³ per cell
* E_tot: -5.1825 eV per atom
* SG: No. 6

---

Record 2
Entry from Alexandria: a geometry-optimized YMgSc2 structure (PBE).

Unit cell a=5.020 b=3.278 c=6.648 alpha=72.48 beta=90.00 gamma=90.00
Atoms (fractional coordinates):
Sc  0.000  0.561  0.511
Sc  0.000  0.939  0.989
Y  0.500  0.250  0.250
Mg  0.500  0.750  0.750

* spin magnetization: 0.00 μB/cell
* crystal system: monoclinic
* ΔH_f (0 K): 0.062 eV per atom
* density of states at the Fermi level: 5.467 states/eV/cell
* calculated volume: 104 Å³ per cell
* E_tot: -5.1183 eV per atom
* SG: No. 10

---

Record 3
Entry from Alexandria: a geometry-optimized YMgSc structure (PBE).

Unit cell a=5.847 b=5.847 c=6.372 alpha=117.31 beta=117.31 gamma=90.00
Atoms (fractional coordinates):
Sc  0.068  0.068  0.137
Sc  0.318  0.818  0.637
Y  0.669  0.169  0.338
Y  0.419  0.419  0.838
Mg  0.763  0.763  0.525
Mg  0.013  0.513  0.025

* spin magnetization: 0.00 μB/cell
* crystal system: tetragonal
* energy above the lowest structure with this stoichiometry: 370 meV per atom
* ΔH_f (0 K): 0.345 eV per atom
* density of states at the Fermi level: 10.488 states/eV/cell
* calculated volume: 166 Å³ per cell
* E_tot: -4.4514 eV per atom
* SG: No. 109

---

Record 4
Entry from Alexandria: a geometry-optimized YMgSc3 structure (PBE).

Unit cell a=5.271 b=5.271 c=5.271 alpha=90.00 beta=90.00 gamma=90.00
Atoms (fractional coordinates):
Y  0.500  0.500  0.500
Sc  0.000  0.500  0.000
Sc  0.500  0.000  0.000
Sc  0.000  0.000  0.500
Mg  0.000  0.000  0.000

* spin magnetization: 0.00 μB/cell
* crystal system: cubic
* energy above the lowest structure with this stoichiometry: 542 meV per atom
* ΔH_f (0 K): 0.606 eV per atom
* density of states at the Fermi level: 1.293 states/eV/cell
* calculated volume: 146 Å³ per cell
* E_tot: -4.8050 eV per atom
* SG: No. 221

---

Record 5
Entry from Alexandria: a geometry-optimized YMgSc structure (PBE).

Unit cell a=5.090 b=5.090 c=5.090 alpha=60.00 beta=60.00 gamma=60.00
Atoms (fractional coordinates):
Mg  0.750  0.750  0.750
Sc  0.000  0.000  0.000
Y  0.500  0.500  0.500

* spin magnetization: 0.28 μB/cell
* crystal system: cubic
* energy above the lowest structure with this stoichiometry: 492 meV per atom
* ΔH_f (0 K): 0.467 eV per atom
* density of states at the Fermi level: 6.125 states/eV/cell
* calculated volume: 93 Å³ per cell
* E_tot: -4.3293 eV per atom
* SG: No. 216

---

Record 6
Entry from Alexandria: a geometry-optimized Y2MgSc structure (PBE).

Unit cell a=5.360 b=5.360 c=3.896 alpha=90.00 beta=90.00 gamma=90.00
Atoms (fractional coordinates):
Y  0.000  0.000  0.000
Y  0.500  0.500  0.000
Mg  0.500  0.000  0.500
Sc  0.000  0.500  0.500

* spin magnetization: 0.00 μB/cell
* crystal system: tetragonal
* ΔH_f (0 K): 0.017 eV per atom
* density of states at the Fermi level: 6.596 states/eV/cell
* calculated volume: 112 Å³ per cell
* E_tot: -5.1967 eV per atom
* SG: No. 123